Record 1
Ti2TlIn | PBE | relaxed

Structure (POSCAR):
```
Ti2TlIn
1.0
4.299 0.000 0.000
0.000 4.299 0.000
0.000 0.000 4.231
Ti Tl In
2 1 1
Direct
0.000 0.500 0.000 Ti
0.500 0.000 0.000 Ti
0.000 0.000 0.500 Tl
0.500 0.500 0.500 In
```

Calculated values
- Offset from the most stable computed form: 0.4 kJ per mole of atoms
- Space-group type: P4/mmm

Record 2
Ti6TlIn2 | PBE | relaxed

Structure (POSCAR):
```
Ti6TlIn2
1.0
-2.446 2.832 6.555
2.446 -2.832 6.555
2.446 2.832 -6.555
Ti Tl In
6 1 2
Direct
0.062 0.815 0.247 Ti
0.246 0.000 0.246 Ti
0.433 0.185 0.247 Ti
0.567 0.815 0.753 Ti
0.754 0.000 0.754 Ti
0.938 0.185 0.753 Ti
0.500 0.500 0.000 Tl
0.117 0.617 0.500 In
0.883 0.383 0.500 In
```

Calculated values
- Space-group type: Immm

Record 3
TiTlIn2 | PBE | relaxed

Structure (POSCAR):
```
TiTlIn2
1.0
1.592 0.919 11.980
-1.592 0.919 11.980
0.000 -1.839 11.980
Ti Tl In
1 1 2
Direct
0.000 0.000 0.000 Ti
0.500 0.500 0.500 Tl
0.080 0.080 0.080 In
0.920 0.920 0.920 In
```

Calculated values
- Offset from the most stable computed form: 24.2 kJ per mole of atoms
- Space-group type: R-3m

Record 4
TiTlIn2 | PBE | relaxed

Structure (POSCAR):
```
TiTlIn2
1.0
4.433 0.000 0.000
0.000 4.433 0.000
0.000 0.000 4.571
Ti Tl In
1 1 2
Direct
0.000 0.000 0.000 Ti
0.500 0.500 0.000 Tl
0.000 0.500 0.500 In
0.500 0.000 0.500 In
```

Calculated values
- Offset from the most stable computed form: 0.0 kJ per mole of atoms
- Space-group type: P4/mmm

Record 5
TiTlIn2 | PBE | relaxed

Structure (POSCAR):
```
TiTlIn2
1.0
-4.071 4.071 3.003
4.071 -4.071 3.003
4.071 4.071 -3.003
Ti Tl In
2 2 4
Direct
0.000 0.000 0.000 Ti
0.750 0.250 0.500 Ti
0.250 0.750 0.500 Tl
0.500 0.500 0.000 Tl
0.109 0.625 0.984 In
0.375 0.359 0.484 In
0.641 0.125 0.016 In
0.875 0.891 0.516 In
```

Calculated values
- Offset from the most stable computed form: 19.7 kJ per mole of atoms
- Space-group type: I-42d

Record 6
Ti2TlIn | PBE | relaxed

Structure (POSCAR):
```
Ti2TlIn
1.0
0.000 3.411 3.411
3.411 0.000 3.411
3.411 3.411 0.000
Ti Tl In
2 1 1
Direct
0.250 0.250 0.250 Ti
0.750 0.750 0.750 Ti
0.000 0.000 0.000 Tl
0.500 0.500 0.500 In
```

Calculated values
- Offset from the most stable computed form: 12.6 kJ per mole of atoms
- Space-group type: Fm-3m

Record 7
Ti12TlIn3 | PBE | relaxed

Structure (POSCAR):
```
Ti12TlIn3
1.0
5.245 0.000 0.000
0.000 5.246 0.000
0.000 0.000 10.490
Ti Tl In
12 1 3
Direct
0.000 0.000 0.125 Ti
0.000 0.000 0.375 Ti
0.000 0.000 0.625 Ti
0.000 0.000 0.875 Ti
0.249 0.500 0.000 Ti
0.250 0.500 0.500 Ti
0.500 0.250 0.251 Ti
0.500 0.250 0.749 Ti
0.500 0.750 0.251 Ti
0.500 0.750 0.749 Ti
0.750 0.500 0.500 Ti
0.751 0.500 0.000 Ti
0.500 0.000 0.000 Tl
0.000 0.500 0.250 In
0.000 0.500 0.750 In
0.500 0.000 0.500 In
```

Calculated values
- Space-group type: Pmmm

Record 8
Ti3TlIn | PBE | relaxed

Structure (POSCAR):
```
Ti3TlIn
1.0
5.024 0.000 0.000
0.000 5.024 0.000
0.000 0.000 5.024
Ti Tl In
3 1 1
Direct
0.000 0.000 0.500 Ti
0.000 0.500 0.000 Ti
0.500 0.000 0.000 Ti
0.500 0.500 0.500 Tl
0.000 0.000 0.000 In
```

Calculated values
- Offset from the most stable computed form: 76.1 kJ per mole of atoms
- Space-group type: Pm-3m

Record 9
TiTlIn2 | PBE | relaxed

Structure (POSCAR):
```
TiTlIn2
1.0
0.000 3.669 3.669
3.669 0.000 3.669
3.669 3.669 0.000
Ti Tl In
1 1 2
Direct
0.000 0.000 0.000 Ti
0.500 0.500 0.500 Tl
0.250 0.250 0.250 In
0.750 0.750 0.750 In
```

Calculated values
- Offset from the most stable computed form: 21.0 kJ per mole of atoms
- Space-group type: Fm-3m

Record 10
TiTlIn2 | PBE | relaxed

Structure (POSCAR):
```
TiTlIn2
1.0
2.329 1.345 5.488
-2.329 1.345 5.488
0.000 -2.690 5.488
Ti Tl In
1 1 2
Direct
0.000 0.000 0.000 Ti
0.822 0.822 0.822 Tl
0.391 0.391 0.391 In
0.599 0.599 0.599 In
```

Calculated values
- Offset from the most stable computed form: 12.7 kJ per mole of atoms
- Space-group type: R3m

Record 11
Ti4TlIn2 | PBE | relaxed

Structure (POSCAR):
```
Ti4TlIn2
1.0
-2.480 2.480 7.274
2.480 -2.480 7.274
2.480 2.480 -7.274
Ti Tl In
4 1 2
Direct
0.000 0.500 0.500 Ti
0.185 0.185 0.000 Ti
0.500 0.000 0.500 Ti
0.815 0.815 0.000 Ti
0.000 0.000 0.000 Tl
0.378 0.378 0.000 In
0.622 0.622 0.000 In
```

Calculated values
- Space-group type: I4/mmm

Record 12
Ti3TlIn | PBE | relaxed

Structure (POSCAR):
```
Ti3TlIn
1.0
4.781 0.000 0.000
0.000 7.015 0.000
0.000 0.000 6.056
Ti Tl In
6 2 2
Direct
0.250 0.077 0.224 Ti
0.250 0.423 0.224 Ti
0.250 0.750 0.975 Ti
0.750 0.250 0.025 Ti
0.750 0.577 0.776 Ti
0.750 0.923 0.776 Ti
0.250 0.750 0.527 Tl
0.750 0.250 0.473 Tl
0.250 0.250 0.774 In
0.750 0.750 0.226 In
```

Calculated values
- Offset from the most stable computed form: 0.0 kJ per mole of atoms
- Space-group type: Pmmn

no.,formation energy from the elements (eV per formula unit),D(E_F) (states/eV per cell),total energy (Ha/atom)
1,0.01,4.1,-0.192
2,2.98,9.6,-0.213
3,1.52,3.6,-0.131
4,0.51,2.8,-0.140
5,1.33,6.9,-0.132
6,0.51,5.1,-0.187
7,-1.54,14.0,-0.245
8,4.89,3.6,-0.176
9,1.38,5.8,-0.132
10,1.04,3.9,-0.135
11,6.17,9.5,-0.175
12,0.95,6.8,-0.205